Record 1
The following is a DFT calculation (PBE) of an optimized crystal structure of FeSiW2.

DOS at the Fermi energy: 0.7606 states/eV per atom

```
FeSiW2
1.0
5.2809 -0.0311 -0.0937
-2.2698 4.2825 0.0073
0.7413 0.8243 2.4817
W Fe Si
2 1 1
Cartesian
3.0111 0.3966 1.1940
0.0000 0.0000 0.0000
-0.7642 2.5534 1.2445
1.5056 2.1257 -0.0432
```



Record 2
The following is a DFT calculation (PBE) of an optimized crystal structure of ZrFeSiW2.

DOS at the Fermi energy: 1.6173 states/eV per atom

```
ZrFeSiW2
1.0
-1.2706 -4.2851 1.9283
4.3380 -0.3020 2.1874
-1.6104 2.0415 3.4755
W Zr Fe Si
2 1 1 1
Cartesian
2.1690 -0.1510 1.0937
-0.6353 -2.1425 0.9642
0.0000 0.0000 0.0000
-0.8052 1.0208 1.7378
0.7285 -1.2728 3.7956
```



Record 3
The following is a DFT calculation (PBE) of an optimized crystal structure of YFe3Si.

DOS at the Fermi energy: 0.5821 states/eV per atom

```
YFe3Si
1.0
-2.8634 2.0732 -2.5153
-0.5686 -3.6143 -2.3318
-3.2096 -1.2093 2.6571
Si Fe Y
1 3 1
Cartesian
0.0000 0.0000 0.0000
-0.2843 -1.8072 -1.1659
-1.6048 -0.6047 1.3285
-1.4317 1.0366 -1.2577
-3.3208 -1.3752 -1.0950
```



Record 4
The following is a DFT calculation (PBE) of an optimized crystal structure of Y2FeSi.

DOS at the Fermi energy: 1.1582 states/eV per atom

```
Y2FeSi
1.0
3.5419 0.0000 0.0000
0.0000 3.4714 -0.0077
0.0000 3.4825 6.8246
Y Fe Si
2 1 1
Cartesian
0.0000 3.4715 0.0322
0.0000 3.4769 3.3684
1.7709 1.7385 1.7042
1.7709 5.2154 5.1127
```



Record 5
The following is a DFT calculation (PBE) of an optimized crystal structure of YFe2Si2.

DOS at the Fermi energy: 0.7598 states/eV per atom

```
YFe2Si2
1.0
7.0761 0.0000 0.0000
0.0000 7.0761 0.0000
0.0000 0.0000 2.7546
Si Fe Y
4 4 2
Cartesian
6.0380 2.5000 1.3773
2.5000 1.0381 1.3773
4.5761 6.0380 1.3773
1.0381 4.5761 1.3773
4.5275 0.9894 0.0000
2.5486 6.0867 0.0000
0.9894 2.5486 0.0000
6.0867 4.5275 0.0000
3.5380 3.5380 0.0000
0.0000 0.0000 0.0000
```



Record 6
The following is a DFT calculation (PBE) of an optimized crystal structure of Y2FeSi.

```
Y2FeSi
1.0
4.7140 0.0000 0.0000
2.3570 4.0825 0.0000
2.3570 1.3608 3.8490
Fe Y Si
1 2 1
Cartesian
4.7140 2.7217 1.9245
0.0000 0.0000 0.0000
2.3570 1.3608 0.9622
7.0711 4.0825 2.8867
```



no.,formation energy (no corrections) (eV per atom),volume (Å³/cell)
1,0.11,56.4
2,2.50,102.8
3,0.16,81.7
4,-0.20,84.0
5,-0.24,137.9
6,0.06,74.1